Record 1
! Pm2AuI (PBE-GGA, optimized geometry); values from VASP
&SYSTEM
  ibrav = 0, nat = 4, ntyp = 3
/
ATOMIC_SPECIES
Pm 145.00 Pm.upf
Au 196.97 Au.upf
I 126.90 I.upf
CELL_PARAMETERS angstrom
-1.0534 2.5331 3.1921
-1.1313 -1.6437 3.7060
7.1222 0.4535 4.7654
ATOMIC_POSITIONS crystal
Pm 0.0684 0.0684 0.7948
Pm 0.2647 0.2647 0.2058
Au 0.6676 0.6676 0.9973
I 0.4993 0.4993 0.5021
! Mass density   8.1 Mg/m³
! Raw total energy   -4.41 eV per atom
! Formation energy (no corrections)   -79.8 kJ per mole of atoms
! Excess energy over the best structure of this formula in the dataset   2 meV per atom
! Density of states at the Fermi level   0.49 states/eV per atom

---

Record 2
! Rb2PmAuI6 (PBE-GGA, optimized geometry); values from VASP
&SYSTEM
  ibrav = 0, nat = 20, ntyp = 4
/
ATOMIC_SPECIES
I 126.90 I.upf
Pm 145.00 Pm.upf
Rb 85.47 Rb.upf
Au 196.97 Au.upf
CELL_PARAMETERS angstrom
-8.1882 -0.4875 5.9388
-1.7010 -12.5476 -3.3753
6.2115 -2.0034 4.3172
ATOMIC_POSITIONS crystal
I 0.2239 0.0602 0.0672
I 0.6842 0.0892 0.3797
I 0.3158 0.9108 0.6203
I 0.0156 0.2833 0.3513
I 0.9844 0.7167 0.6487
I 0.2761 0.5602 0.4328
I 0.4844 0.7833 0.1487
I 0.7761 0.9398 0.9328
I 0.1842 0.4108 0.8797
I 0.7239 0.4398 0.5672
I 0.8158 0.5892 0.1203
I 0.5156 0.2167 0.8513
Pm 0.5000 0.0000 0.0000
Pm 0.0000 0.5000 0.5000
Rb 0.6119 0.7086 0.6436
Rb 0.1119 0.7914 0.1436
Rb 0.8881 0.2086 0.8564
Rb 0.3881 0.2914 0.3564
Au 0.0000 0.5000 0.0000
Au 0.5000 0.0000 0.5000
! Mass density   4.3 Mg/m³
! Raw total energy   -3.11 eV per atom
! Formation energy (no corrections)   -113.7 kJ per mole of atoms
! Density of states at the Fermi level   0.00 states/eV per atom

---

Record 3
! RbPmAu2I6 (PBE-GGA, optimized geometry); values from VASP
&SYSTEM
  ibrav = 0, nat = 10, ntyp = 4
/
ATOMIC_SPECIES
Rb 85.47 Rb.upf
I 126.90 I.upf
Au 196.97 Au.upf
Pm 145.00 Pm.upf
CELL_PARAMETERS angstrom
7.9792 -0.0117 0.0267
-3.9994 6.8842 -0.0131
-3.9563 -2.2821 8.7952
ATOMIC_POSITIONS crystal
Rb 0.9967 0.4979 0.4801
I 0.4501 0.0685 0.1934
I 0.1728 0.2417 0.7680
I 0.8563 0.6109 0.7705
I 0.8196 0.7530 0.1919
I 0.1378 0.3847 0.1903
I 0.5427 0.9270 0.7677
Au 0.4639 0.7349 0.1796
Au 0.5294 0.2613 0.7808
Pm 0.9964 0.9977 0.9801
! Mass density   4.8 Mg/m³
! Raw total energy   -2.98 eV per atom
! Formation energy (no corrections)   -79.6 kJ per mole of atoms
! Density of states at the Fermi level   0.00 states/eV per atom

---

Record 4
! Pm6Rh2AuI3 (PBE-GGA, optimized geometry); values from VASP
&SYSTEM
  ibrav = 0, nat = 12, ntyp = 4
/
ATOMIC_SPECIES
Pm 145.00 Pm.upf
Au 196.97 Au.upf
Rh 102.91 Rh.upf
I 126.90 I.upf
CELL_PARAMETERS angstrom
7.3184 -0.0004 0.0008
-3.6578 6.3387 0.0008
-1.2198 -2.1121 8.0618
ATOMIC_POSITIONS crystal
Pm 0.7122 0.7122 0.1870
Pm 0.4127 0.0627 0.1878
Pm 0.0627 0.4127 0.1878
Pm 0.9373 0.5873 0.8122
Pm 0.2878 0.2878 0.8130
Pm 0.5873 0.9373 0.8122
Au 0.0000 0.0000 0.0000
Rh 0.6668 0.3332 0.0000
Rh 0.3332 0.6668 0.0000
I 0.5000 0.5000 0.5000
I 0.1654 0.8346 0.5000
I 0.8346 0.1654 0.5000
! Mass density   7.3 Mg/m³
! Raw total energy   -5.18 eV per atom
! Formation energy (no corrections)   -88.7 kJ per mole of atoms
! Density of states at the Fermi level   0.63 states/eV per atom

---

Record 5
! Pm8Rh3AuI4 (PBE-GGA, optimized geometry); values from VASP
&SYSTEM
  ibrav = 0, nat = 16, ntyp = 4
/
ATOMIC_SPECIES
Pm 145.00 Pm.upf
I 126.90 I.upf
Rh 102.91 Rh.upf
Au 196.97 Au.upf
CELL_PARAMETERS angstrom
8.4229 0.0000 0.0000
0.0000 9.3920 0.6898
-4.2115 -4.2100 5.9520
ATOMIC_POSITIONS crystal
Pm 0.7643 0.3139 0.5286
Pm 0.2359 0.6861 0.9507
Pm 0.7641 0.3139 0.0493
Pm 0.2708 0.3128 0.5416
Pm 0.2852 0.3139 0.0493
Pm 0.7148 0.6861 0.9507
Pm 0.7292 0.6872 0.4584
Pm 0.2357 0.6861 0.4714
I 0.0000 0.0000 0.5000
I 0.5000 0.0000 0.5000
I 0.5000 0.0000 0.0000
I 0.0000 0.0000 0.0000
Rh 0.5000 0.5000 0.5000
Rh 0.5000 0.5000 0.0000
Rh 0.0000 0.5000 0.5000
Au 0.0000 0.5000 0.0000
! Mass density   7.3 Mg/m³
! Raw total energy   -5.27 eV per atom
! Formation energy (no corrections)   -89.0 kJ per mole of atoms
! Density of states at the Fermi level   0.55 states/eV per atom

---

Record 6
! Pm6Ru2AuI3 (PBE-GGA, optimized geometry); values from VASP
&SYSTEM
  ibrav = 0, nat = 12, ntyp = 4
/
ATOMIC_SPECIES
Pm 145.00 Pm.upf
I 126.90 I.upf
Au 196.97 Au.upf
Ru 101.07 Ru.upf
CELL_PARAMETERS angstrom
-6.1960 2.8330 -2.5604
0.0688 -6.7627 2.6893
0.3241 4.2233 7.3327
ATOMIC_POSITIONS crystal
Pm 0.4186 0.0626 0.1872
Pm 0.0626 0.4186 0.1872
Pm 0.9374 0.5814 0.8128
Pm 0.7058 0.7058 0.1861
Pm 0.5814 0.9374 0.8128
Pm 0.2942 0.2942 0.8139
I 0.1656 0.8344 0.5000
I 0.8344 0.1656 0.5000
I 0.5000 0.5000 0.5000
Au 0.0000 0.0000 0.0000
Ru 0.3332 0.6668 0.0000
Ru 0.6668 0.3332 0.0000
! Mass density   7.4 Mg/m³
! Raw total energy   -5.35 eV per atom
! Formation energy (no corrections)   -74.4 kJ per mole of atoms
! Density of states at the Fermi level   0.25 states/eV per atom